NaNpFe2O6 | the Alexandria database | PBE+U | relaxed; M_tot = 8.00 Bohr magnetons per cell; crystal system = triclinic; total DFT energy (no corrections) = -7.534 eV/atom
1.0
5.428 -0.025 0.103
2.693 4.703 0.072
2.800 1.580 5.028
Fe O Na Np
2 6 1 1
Direct
0.007 0.011 0.973
0.521 0.526 0.419
0.361 0.730 0.774
0.732 0.137 0.777
0.155 0.362 0.762
0.607 0.237 0.226
0.917 0.605 0.232
0.232 0.926 0.227
0.805 0.804 0.594
0.324 0.323 0.032